# TbNpCoO6 PBE with a Hubbard U optimized geometry
# VASP energy = -147.2 eV per cell
# spin magnetization = 5.909 μB per cell
data_TbNpCoO6
_space_group_name_H-M_alt 'P -3 1 c'
_space_group_IT_number 163
_space_group_name_Hall '-P 3 2c'
_cell_length_a 5.6886
_cell_length_b 5.6886
_cell_length_c 8.6925
_cell_angle_alpha 90.00
_cell_angle_beta 90.00
_cell_angle_gamma 120.00
loop_
_atom_site_label
_atom_site_type_symbol
_atom_site_fract_x
_atom_site_fract_y
_atom_site_fract_z
Tb1 Tb 0.3333 0.6667 0.2500
Np1 Np 0.3333 0.6667 0.7500
Co1 Co 0.0000 0.0000 0.0000
O1 O 0.0339 0.3562 0.6283